Entry 1:
A relaxed MnFeRe2 crystal, computed with PBE-GGA. Values from VASP.

The calculation puts the calculated total energy at -10.55 eV per atom. The calculation puts the energy above the most stable polymorph in this dataset at 38.7 meV per atom. The formation energy comes out at 0.081 eV/atom.

```
&SYSTEM
  ibrav = 0, nat = 4, ntyp = 3
/
ATOMIC_SPECIES
Fe 55.84 Fe.upf
Mn 54.94 Mn.upf
Re 186.21 Re.upf
ATOMIC_POSITIONS angstrom
Fe -1.247 -1.420 1.820
Mn -1.703 -0.414 4.253
Re -0.003 0.006 0.013
Re -0.453 1.000 2.420
CELL_PARAMETERS angstrom
-2.587 -0.545 -0.259
0.549 -3.299 1.466
-0.911 2.011 4.866
```


Entry 2:
A relaxed MnFe2Re crystal, computed with PBE-GGA. Values from VASP.

The calculation puts the calculated total energy at -9.55 eV per atom. The calculation puts the energy above the most stable polymorph in this dataset at 49.2 meV per atom. The formation energy comes out at 0.082 eV/atom.

```
&SYSTEM
  ibrav = 0, nat = 4, ntyp = 3
/
ATOMIC_SPECIES
Fe 55.84 Fe.upf
Mn 54.94 Mn.upf
Re 186.21 Re.upf
ATOMIC_POSITIONS angstrom
Fe 0.000 0.022 0.027
Fe 0.000 1.712 2.335
Mn 2.077 0.867 1.181
Re 2.077 2.601 3.542
CELL_PARAMETERS angstrom
4.154 0.000 0.000
0.000 2.555 0.001
0.000 0.913 4.722
```


Copy entry 1 word for word.
A relaxed MnFeRe2 crystal, computed with PBE-GGA. Values from VASP.

The calculation puts the calculated total energy at -10.55 eV per atom. The calculation puts the energy above the most stable polymorph in this dataset at 38.7 meV per atom. The formation energy comes out at 0.081 eV/atom.

```
&SYSTEM
  ibrav = 0, nat = 4, ntyp = 3
/
ATOMIC_SPECIES
Fe 55.84 Fe.upf
Mn 54.94 Mn.upf
Re 186.21 Re.upf
ATOMIC_POSITIONS angstrom
Fe -1.247 -1.420 1.820
Mn -1.703 -0.414 4.253
Re -0.003 0.006 0.013
Re -0.453 1.000 2.420
CELL_PARAMETERS angstrom
-2.587 -0.545 -0.259
0.549 -3.299 1.466
-0.911 2.011 4.866
```


- What is the formula in the second record?
  MnFe2Re


- Look up the calculated total energy of the first one.
  -10.55 eV per atom


- Look up the energy above the most stable polymorph in this dataset of the first one.
  38.7 meV per atom